Material: Y3Mg3CuAu2
Method: DFT, PBE
State: relaxed

Unit cell a=7.5646 b=7.5646 c=4.0702 alpha=90.00 beta=90.00 gamma=120.00
With the nearest neighbours (Å) after each atom.
Positions (direct):
Y1 0.0000 0.5895 0.0000  4 Au 3.06, 1 Cu 3.11, 6 Mg 3.34-3.38
Y2 0.4105 0.4105 0.0000  4 Au 3.06, 1 Cu 3.11, 6 Mg 3.34-3.38
Y3 0.5895 0.0000 0.0000  4 Au 3.06, 1 Cu 3.11, 6 Mg 3.34-3.38
Mg1 0.0000 0.2397 0.5000  2 Cu 2.73, 2 Au 2.94
Mg2 0.2397 0.0000 0.5000  2 Cu 2.73, 2 Au 2.94
Mg3 0.7603 0.7603 0.5000  2 Cu 2.73, 2 Au 2.94
Cu1 0.0000 0.0000 0.0000  6 Mg 2.73
Au1 0.3333 0.6667 0.5000  3 Mg 2.94, 6 Y 3.06
Au2 0.6667 0.3333 0.5000  3 Mg 2.94, 6 Y 3.06

E   -39.20 eV per cell
SG   No. 189